DFT (meta-GGA SCAN) results for a PBEsol-optimized structure of Ta2SbCl.

Lattice parameters (Å, degrees): 3.056 3.056 9.041 80.27 80.27 60.00
Fractional coordinates of all 4 atoms:
Ta  0.246  0.246  0.262
Sb  0.000  0.000  0.000
Cl  0.500  0.500  0.500
Ta  0.754  0.754  0.738

Symmetry: R-3m
Excess energy over the best structure of this formula in the dataset: 503 meV per atom
Electronic total energy: -44.3298 eV per atom
Formation energy from raw total energies: 1.1 eV per formula unit

=====

DFT (meta-GGA SCAN) results for a PBEsol-optimized structure of Al2H18SO15.

Lattice parameters (Å, degrees): 7.441 11.255 15.520 90.00 90.00 106.59
Fractional coordinates of all 144 atoms:
O  0.348  0.477  0.459
O  0.544  0.295  0.626
Al  0.947  0.870  0.966
H  0.472  0.271  0.236
H  0.973  0.586  0.671
O  0.775  0.591  0.696
O  0.600  0.077  0.846
O  0.261  0.216  0.508
O  0.739  0.784  0.492
H  0.244  0.167  0.782
H  0.203  0.019  0.767
O  0.667  0.374  0.211
O  0.397  0.660  0.550
O  0.103  0.840  0.050
H  0.243  0.341  0.958
O  0.833  0.126  0.711
O  0.915  0.105  0.281
H  0.756  0.833  0.218
H  0.744  0.667  0.718
H  0.406  0.944  0.594
H  0.133  0.193  0.534
H  0.080  0.685  0.456
O  0.043  0.600  0.477
Al  0.180  0.523  0.548
H  0.920  0.315  0.544
H  0.198  0.054  0.900
O  0.102  0.858  0.443
H  0.802  0.946  0.100
H  0.050  0.707  0.878
H  0.168  0.335  0.796
O  0.897  0.160  0.950
H  0.524  0.589  0.189
H  0.473  0.086  0.829
Al  0.447  0.370  0.534
O  0.715  0.561  0.125
O  0.652  0.523  0.541
H  0.050  0.824  0.812
O  0.585  0.395  0.781
O  0.543  0.100  0.023
H  0.527  0.914  0.171
O  0.275  0.091  0.804
O  0.078  0.569  0.892
H  0.028  0.229  0.736
H  0.450  0.793  0.378
O  0.798  0.366  0.907
H  0.703  0.519  0.733
H  0.550  0.324  0.688
O  0.602  0.358  0.057
H  0.333  0.624  0.170
H  0.027  0.414  0.329
H  0.550  0.207  0.622
H  0.367  0.307  0.034
H  0.476  0.411  0.811
H  0.594  0.056  0.406
O  0.898  0.142  0.557
O  0.209  0.082  0.108
O  0.225  0.409  0.304
O  0.785  0.939  0.625
H  0.260  0.130  0.161
H  0.867  0.807  0.466
O  0.400  0.923  0.154
O  0.922  0.431  0.108
Al  0.320  0.977  0.048
O  0.100  0.577  0.654
H  0.773  0.131  0.462
H  0.972  0.771  0.264
O  0.457  0.900  0.977
O  0.603  0.340  0.450
O  0.152  0.023  0.959
H  0.302  0.446  0.400
O  0.956  0.205  0.126
O  0.167  0.874  0.289
H  0.876  0.240  0.932
H  0.528  0.729  0.764
O  0.725  0.909  0.196
H  0.240  0.370  0.661
H  0.833  0.124  0.330
H  0.124  0.760  0.068
H  0.906  0.444  0.906
O  0.702  0.134  0.407
O  0.298  0.866  0.593
H  0.167  0.876  0.670
H  0.757  0.659  0.042
H  0.698  0.554  0.600
H  0.376  0.740  0.568
H  0.633  0.693  0.966
O  0.285  0.439  0.875
H  0.797  0.981  0.233
H  0.420  0.815  0.956
H  0.950  0.293  0.122
O  0.333  0.626  0.789
H  0.624  0.260  0.432
H  0.950  0.176  0.188
Al  0.553  0.630  0.466
S  0.226  0.930  0.374
H  0.976  0.911  0.689
O  0.202  0.634  0.093
H  0.256  0.333  0.282
H  0.094  0.556  0.094
H  0.450  0.676  0.312
O  0.085  0.895  0.719
O  0.044  0.795  0.874
H  0.313  0.906  0.204
O  0.791  0.918  0.892
O  0.709  0.582  0.392
O  0.239  0.284  0.008
O  0.456  0.705  0.374
H  0.227  0.869  0.538
H  0.580  0.185  0.044
H  0.668  0.835  0.704
H  0.273  0.631  0.038
H  0.727  0.369  0.962
O  0.215  0.061  0.375
Al  0.820  0.477  0.452
O  0.848  0.977  0.041
H  0.832  0.665  0.204
O  0.662  0.778  0.753
O  0.398  0.642  0.943
O  0.578  0.069  0.608
H  0.257  0.159  0.458
H  0.024  0.089  0.311
Al  0.680  0.023  0.952
O  0.291  0.418  0.608
O  0.162  0.278  0.747
S  0.726  0.430  0.126
O  0.338  0.222  0.247
O  0.415  0.605  0.219
O  0.422  0.931  0.392
S  0.774  0.070  0.626
O  0.900  0.423  0.346
H  0.743  0.841  0.542
O  0.761  0.716  0.992
O  0.957  0.400  0.523
S  0.274  0.570  0.874
H  0.332  0.165  0.296
H  0.667  0.376  0.830
H  0.187  0.594  0.704
O  0.838  0.722  0.253
H  0.687  0.094  0.796
H  0.740  0.870  0.839
H  0.760  0.630  0.339
H  0.297  0.481  0.267
H  0.813  0.406  0.296
Al  0.053  0.130  0.034

Symmetry: P2_1/c
Electronic total energy: -6.4814 eV per atom

=====

DFT (meta-GGA SCAN) results for a PBEsol-optimized structure of La3YSb3.

Lattice parameters (Å, degrees): 8.153 8.153 8.197 109.59 109.40 109.21
Fractional coordinates of all 14 atoms:
Y  0.499  0.889  0.247
La  0.865  0.109  0.111
Sb  0.387  0.002  0.879
La  0.498  0.395  0.248
Sb  0.264  0.119  0.380
Sb  0.739  0.884  0.620
Sb  0.863  0.363  0.500
La  0.147  0.250  0.752
Sb  0.123  0.508  0.121
Sb  0.627  0.627  0.000
La  0.998  0.755  0.889
Y  0.642  0.253  0.753
La  0.997  0.749  0.399
La  0.351  0.598  0.601

Symmetry: C2
Electronic total energy: -39.6326 eV per atom
Formation energy from raw total energies: -8.5 eV per formula unit

=====

DFT (meta-GGA SCAN) results for a PBEsol-optimized structure of CrSnO2.

Lattice parameters (Å, degrees): 3.049 3.049 6.747 76.94 76.94 60.00
Site moments in Bohr magnetons follow the coordinates.
Fractional coordinates of all 4 atoms:
Sn  0.000  0.000  0.000  0.01
O  0.882  0.882  0.353  0.01
Cr  0.500  0.500  0.500  2.85
O  0.118  0.118  0.647  0.01

Symmetry: R-3m
Excess energy over the best structure of this formula in the dataset: 0 meV per atom
Electronic total energy: -18.5573 eV per atom
Formation energy from raw total energies: -7.5 eV per formula unit

=====

DFT (meta-GGA SCAN) results for a PBEsol-optimized structure of TaZn2Co.

Lattice parameters (Å, degrees): 4.222 4.222 4.222 60.00 60.00 60.00
Site moments in Bohr magnetons follow the coordinates.
Fractional coordinates of all 4 atoms:
Zn  0.250  0.250  0.250  -0.03
Ta  0.500  0.500  0.500  -0.10
Zn  0.750  0.750  0.750  -0.03
Co  0.000  0.000  0.000  1.12

Symmetry: Fm-3m
Excess energy over the best structure of this formula in the dataset: 277 meV per atom
Electronic total energy: -27.5068 eV per atom

=====

DFT (meta-GGA SCAN) results for a PBEsol-optimized structure of Hf3ScIr.

Lattice parameters (Å, degrees): 4.980 4.980 4.980 90.00 90.00 90.00
Fractional coordinates of all 5 atoms:
Ir  0.000  0.000  0.000
Hf  0.500  0.000  0.000
Hf  0.000  0.000  0.500
Sc  0.500  0.500  0.500
Hf  0.000  0.500  0.000

Symmetry: Pm-3m
Electronic total energy: -54.6402 eV per atom

=====

no.,D(E_F) (states/eV/f.u.)
1,2.6
2,0.0
3,6.9
4,0.2
5,2.9
6,7.8